## PmPuZnPt (PBE)

Data for crystalline PmPuZnPt at its relaxed geometry.

```
4
Lattice="0.000 3.582 3.582 3.582 0.000 3.582 3.582 3.582 0.000" Properties=species:S:1:pos:R:3 pbc="T T T"
Pm 0.000 0.000 0.000
Pu 3.582 3.582 3.582
Zn 1.791 1.791 1.791
Pt 5.373 5.373 5.373
```

Properties
* total energy: -7.120 eV per atom
* formation enthalpy at 0 K: -0.520 eV/atom



## Pm2PuZn3Pt4 (PBE)

Data for crystalline Pm2PuZn3Pt4 at its relaxed geometry.

```
10
Lattice="4.214 0.000 0.000 0.000 4.214 0.000 0.000 0.000 11.544" Properties=species:S:1:pos:R:3 pbc="T T T"
Pm 0.000 2.107 2.605
Pm 2.107 0.000 8.939
Pu 0.000 0.000 5.772
Zn 0.000 2.107 10.105
Zn 2.107 0.000 1.438
Zn 2.107 2.107 5.772
Pt 0.000 0.000 0.000
Pt 0.000 2.107 7.611
Pt 2.107 0.000 3.933
Pt 2.107 2.107 0.000
```

Properties
* total energy: -5.911 eV per atom
* formation enthalpy at 0 K: -0.729 eV/atom



## RbPmPt2 (PBE)

Data for crystalline RbPmPt2 at its relaxed geometry.

```
4
Lattice="3.628 0.000 0.000 0.000 3.628 0.000 0.000 0.000 8.192" Properties=species:S:1:pos:R:3 pbc="T T T"
Rb 0.000 0.000 0.000
Pm 0.000 0.000 4.096
Pt 1.814 1.814 2.541
Pt 1.814 1.814 5.651
```

Properties
* total energy: -5.024 eV per atom
* formation enthalpy at 0 K: -0.574 eV/atom



## RbPmPt10 (PBE)

Data for crystalline RbPmPt10 at its relaxed geometry.

```
12
Lattice="4.384 0.000 0.000 0.000 5.530 0.000 0.000 0.000 9.487" Properties=species:S:1:pos:R:3 pbc="T T T"
Rb 0.000 0.000 0.000
Pm 0.000 2.765 4.744
Pt 0.000 0.000 3.213
Pt 0.000 0.000 6.274
Pt 0.000 2.765 1.643
Pt 0.000 2.765 7.844
Pt 2.192 0.000 4.744
Pt 2.192 1.409 2.454
Pt 2.192 1.409 7.034
Pt 2.192 2.765 0.000
Pt 2.192 4.120 2.454
Pt 2.192 4.120 7.034
```

Properties
* total energy: -5.891 eV per atom
* formation enthalpy at 0 K: -0.380 eV/atom